Entry from the Alexandria database: crystalline ZnFeRe2 at its relaxed geometry (PBE).

It has space group I-4m2 (No. 119), with a = 3.826 Å, b = 3.826 Å, c = 7.564 Å, α = 90.00°, β = 90.00° and γ = 90.00°. Symmetry generates all atoms from Zn at (0.000, 0.000, 0.000), Fe at (0.000, 0.500, 0.750), Re at (0.000, 0.000, 0.500) and Re at (0.000, 0.500, 0.250).

The value obtained for the uncorrected energy is -8.45 eV per atom. The formation energy comes out at 0.83 eV per formula unit. The total magnetization is 0.6032 μB per atom.

=====

Entry from the Alexandria database: crystalline ZnFe2Re at its relaxed geometry (PBE).

It has space group F-43m (No. 216), with a = 5.888 Å, b = 5.888 Å, c = 5.888 Å, α = 90.00°, β = 90.00° and γ = 90.00°. Symmetry generates all atoms from Zn at (0.000, 0.000, 0.000), Fe at (0.000, 0.000, 0.500), Fe at (0.250, 0.250, 0.250) and Re at (0.250, 0.250, 0.750).

The value obtained for the uncorrected energy is -7.42 eV per atom. The formation energy comes out at 0.95 eV per formula unit. The total magnetization is 0.8463 μB per atom.

=====

Entry from the Alexandria database: crystalline ZnFeRe2 at its relaxed geometry (PBE).

It has space group P4/mmm (No. 123), with a = 3.147 Å, b = 3.147 Å, c = 5.553 Å, α = 90.00°, β = 90.00° and γ = 90.00°. Symmetry generates all atoms from Zn at (0.000, 0.000, 0.000), Fe at (0.000, 0.000, 0.500) and Re at (0.500, 0.500, 0.259).

The value obtained for the uncorrected energy is -8.34 eV per atom. The formation energy comes out at 1.29 eV per formula unit. The total magnetization is 0.5173 μB per atom.

=====

Entry from the Alexandria database: crystalline ZnFe2Re at its relaxed geometry (PBE).

It has space group R3m (No. 160, hexagonal axes), with a = 2.6635 Å, b = 2.6635 Å, c = 25.5409 Å, α = 90.00°, β = 90.00° and γ = 120.00°. Symmetry generates all atoms from Zn at (0.0000, 0.0000, 0.0000), Fe at (0.0000, 0.0000, 0.4954), Fe at (0.0000, 0.0000, 0.7502) and Re at (0.0000, 0.0000, 0.2410).

The value obtained for the uncorrected energy is -7.49 eV per atom. The formation energy comes out at 0.67 eV per formula unit. The total magnetization is 0.7783 μB per atom.

=====

Entry from the Alexandria database: crystalline ZnFe2Re at its relaxed geometry (PBE).

It has space group Imm2 (No. 44), with a = 2.816 Å, b = 4.289 Å, c = 8.527 Å, α = 90.00°, β = 90.00° and γ = 90.00°. Symmetry generates all atoms from Zn at (0.000, 0.000, 0.000), Fe at (0.000, 0.000, 0.481), Fe at (0.000, 0.500, 0.752) and Re at (0.000, 0.500, 0.228).

The value obtained for the uncorrected energy is -7.49 eV per atom. The formation energy comes out at 0.69 eV per formula unit. The total magnetization is 0.9858 μB per atom.

=====

Entry from the Alexandria database: crystalline ZnFe2Re2 at its relaxed geometry (PBE).

It has space group P4/mbm (No. 127), with a = 7.276 Å, b = 7.276 Å, c = 2.629 Å, α = 90.00°, β = 90.00° and γ = 90.00°. Symmetry generates all atoms from Zn at (0.000, 0.000, 0.000), Fe at (0.165, 0.335, 0.500) and Re at (0.127, 0.627, 0.000).

The value obtained for the uncorrected energy is -8.32 eV per atom. As for the relative energy among the computed polymorphs: 72 meV/atom. The formation energy comes out at 1.51 eV per formula unit. The total magnetization is 0.0000 μB per atom.